# 1
This record from Alexandria describes crystalline Er2ScPt9 at its relaxed geometry. The functional is PBE.

Unit cell a=4.071 b=4.071 c=12.204 alpha=90.00 beta=90.00 gamma=90.00
Positions (direct):
Er (0.000, 0.000, 0.169)
Er (0.000, 0.000, 0.831)
Sc (0.000, 0.000, 0.500)
Pt (0.000, 0.500, 0.000)
Pt (0.000, 0.500, 0.340)
Pt (0.000, 0.500, 0.660)
Pt (0.500, 0.000, 0.000)
Pt (0.500, 0.000, 0.340)
Pt (0.500, 0.000, 0.660)
Pt (0.500, 0.500, 0.170)
Pt (0.500, 0.500, 0.500)
Pt (0.500, 0.500, 0.830)

Summary:
**Energy relative to the elements**: -1.07 eV/atom

# 2
This record from Alexandria describes crystalline Er3ScPt2 at its relaxed geometry. The functional is PBE.

Unit cell a=4.692 b=8.681 c=6.943 alpha=90.00 beta=90.00 gamma=90.00
Positions (direct):
Er (0.000, 0.081, 0.000)
Er (0.000, 0.339, 0.359)
Er (0.000, 0.661, 0.859)
Er (0.000, 0.919, 0.500)
Er (0.500, 0.175, 0.653)
Er (0.500, 0.825, 0.153)
Sc (0.500, 0.414, 0.015)
Sc (0.500, 0.586, 0.515)
Pt (0.000, 0.343, 0.773)
Pt (0.000, 0.657, 0.273)
Pt (0.500, 0.158, 0.244)
Pt (0.500, 0.842, 0.744)

Summary:
**Energy relative to the elements**: -0.96 eV/atom
**Distance to the lowest polymorph of the same formula**: 0.00 eV per formula unit

# 3
This record from Alexandria describes crystalline Er2ScPt3 at its relaxed geometry. The functional is PBE.

Unit cell a=4.838 b=14.712 c=3.343 alpha=90.00 beta=90.00 gamma=90.00
Positions (direct):
Er (0.250, 0.084, 0.006)
Er (0.250, 0.416, 0.006)
Er (0.750, 0.584, 0.994)
Er (0.750, 0.916, 0.994)
Sc (0.250, 0.750, 0.994)
Sc (0.750, 0.250, 0.006)
Pt (0.250, 0.250, 0.503)
Pt (0.250, 0.597, 0.492)
Pt (0.250, 0.903, 0.492)
Pt (0.750, 0.097, 0.508)
Pt (0.750, 0.403, 0.508)
Pt (0.750, 0.750, 0.497)

Summary:
**Energy relative to the elements**: -1.25 eV/atom
**Distance to the lowest polymorph of the same formula**: 0.00 eV per formula unit

# 4
This record from Alexandria describes crystalline ErScPt at its relaxed geometry. The functional is PBE.

Unit cell a=4.613 b=7.088 c=7.088 alpha=119.93 beta=90.00 gamma=90.00
Positions (direct):
Er (0.000, 0.000, 0.000)
Er (0.000, 0.410, 0.821)
Er (0.000, 0.821, 0.410)
Sc (0.500, 0.154, 0.411)
Sc (0.500, 0.411, 0.154)
Sc (0.500, 0.667, 0.667)
Pt (0.000, 0.410, 0.410)
Pt (0.500, 0.077, 0.744)
Pt (0.500, 0.744, 0.077)

Summary:
**Energy relative to the elements**: -0.99 eV/atom
**Distance to the lowest polymorph of the same formula**: 0.00 eV per formula unit

# 5
This record from Alexandria describes crystalline Er2ScPt3 at its relaxed geometry. The functional is PBE.

Unit cell a=6.840 b=6.840 c=6.840 alpha=145.94 beta=131.39 gamma=60.69
Positions (direct):
Er (0.172, 0.172, 0.000)
Er (0.828, 0.828, 0.000)
Sc (0.500, 0.500, 0.000)
Pt (0.000, 0.500, 0.500)
Pt (0.346, 0.846, 0.500)
Pt (0.654, 0.154, 0.500)

Summary:
**Energy relative to the elements**: -1.08 eV/atom
**Distance to the lowest polymorph of the same formula**: 0.99 eV per formula unit

# 6
This record from Alexandria describes crystalline ErScPt4 at its relaxed geometry. The functional is PBE.

Unit cell a=5.579 b=4.881 c=4.881 alpha=111.19 beta=90.00 gamma=90.00
Positions (direct):
Er (0.000, 0.000, 0.000)
Sc (0.500, 0.501, 0.501)
Pt (0.254, 0.001, 0.501)
Pt (0.254, 0.501, 0.001)
Pt (0.746, 0.001, 0.501)
Pt (0.746, 0.501, 0.001)

Summary:
**Energy relative to the elements**: -0.88 eV/atom
**Distance to the lowest polymorph of the same formula**: 1.00 eV per formula unit

# 7
This record from Alexandria describes crystalline Er2ScSi4Pt3 at its relaxed geometry. The functional is PBE.

Unit cell a=4.091 b=4.091 c=10.770 alpha=90.00 beta=90.00 gamma=90.00
Positions (direct):
Er (0.000, 0.500, 0.243)
Er (0.500, 0.000, 0.757)
Sc (0.000, 0.000, 0.500)
Si (0.000, 0.000, 0.000)
Si (0.000, 0.500, 0.655)
Si (0.500, 0.000, 0.345)
Si (0.500, 0.500, 0.000)
Pt (0.000, 0.500, 0.878)
Pt (0.500, 0.000, 0.122)
Pt (0.500, 0.500, 0.500)

Summary:
**Formation energy (no corrections)**: -1.016 eV/atom

# 8
This record from Alexandria describes crystalline TbErScPt at its relaxed geometry. The functional is PBE.

Unit cell a=5.084 b=5.084 c=5.084 alpha=60.00 beta=60.00 gamma=60.00
Positions (direct):
Tb (0.000, 0.000, 0.000)
Er (0.500, 0.500, 0.500)
Sc (0.250, 0.250, 0.250)
Pt (0.750, 0.750, 0.750)

Summary:
**Energy relative to the elements**: -0.35 eV/atom

Ordered V results: 16.9, 23.6, 19.8, 22.3, 22.2, 20.7, 18.0, 23.2; unit Å³/atom.
Ordered size of the total moment results: 0.0, 0.0, 0.0, 0.0, 0.0, 0.0, 0.0, 0.8; unit μB per cell.